Pm3MnB4O12: relaxed, GGA+U.

a b c (Å): 6.5978 6.5978 6.5978
angles (deg): 102.10 102.10 102.10
Positions (direct):
Pm 0.0000 0.5209 0.4791
Pm 0.4791 0.0000 0.5209
Pm 0.5209 0.4791 0.0000
Mn 0.0000 0.0000 0.0000
B 0.0226 0.5000 0.9774
B 0.5000 0.5000 0.5000
B 0.5000 0.9774 0.0226
B 0.9774 0.0226 0.5000
O 0.0226 0.6418 0.8485
O 0.1109 0.8891 0.5000
O 0.1515 0.3582 0.9774
O 0.3582 0.9774 0.1515
O 0.3661 0.6339 0.5000
O 0.5000 0.1109 0.8891
O 0.5000 0.3661 0.6339
O 0.6339 0.5000 0.3661
O 0.6418 0.8485 0.0226
O 0.8485 0.0226 0.6418
O 0.8891 0.5000 0.1109
O 0.9774 0.1515 0.3582

- magnetization (μB/f.u.) = 3.95
- space-group type = R32
- raw total energy (eV for the cell shown) = -161.06
- crystal system = trigonal
- DOS at the Fermi energy (states/eV per cell) = 7.1